Entry from Alexandria: a relaxed structure of ZrNiSe2Br (PBE-GGA).

Lattice parameters (Å, degrees): 4.7602 4.7602 4.6407 90.00 90.00 90.00
Last column: nearest neighbours and their distance in Å.
Space group P4/mmm (No. 123)
Symmetry-distinct sites (fractional):
Zr  0.0000  0.0000  0.0000 x1  8 Se 3.32, 4 Br 3.37
Ni  0.5000  0.5000  0.5000 x1  2 Br 2.32, 4 Se 2.38
Se  0.0000  0.5000  0.5000 x2  2 Ni 2.38
Br  0.5000  0.5000  0.0000 x1  2 Ni 2.32

E above lowest polymorph: 0 meV/atom
Uncorrected energy: -4.62 eV/atom
Formation energy without anion corrections: -0.14 eV/f.u.
N(E_F): 4.0 states/eV/cell
Calculated density: 6.1 Mg/m³